Record 1
First-principles (PBE) data for an optimized crystal structure of Sr2W, as listed in the Alexandria database.

a = 3.805 Å, b = 3.805 Å, c = 14.350 Å
α = 90.00°, β = 90.00°, γ = 90.00°
Space group I4/mmm (No. 139)
Unique sites:
Sr1 0.000 0.000 0.132 (multiplicity 4)
W1 0.000 0.000 0.500 (multiplicity 2)

DOS(E_F), states/eV per atom: 0.988
Energy relative to the lowest polymorph listed for this composition, eV per atom: 0.6243
V, Å³ per atom: 34.62

Record 2
First-principles (PBE) data for an optimized crystal structure of Tm3Mg2Pd3, as listed in the Alexandria database.

a = 8.2703 Å, b = 8.2703 Å, c = 5.7125 Å
α = 90.00°, β = 90.00°, γ = 120.00°
Space group P6_3/mcm (No. 193)
Unique sites:
Tm1 0.0000 0.2589 0.2500 (multiplicity 6)
Mg1 0.3333 0.6667 0.0000 (multiplicity 4)
Pd1 0.0000 0.3958 0.7500 (multiplicity 6)

DOS(E_F), states/eV per atom: 0.693
Energy relative to the lowest polymorph listed for this composition, eV per atom: 0.0000
V, Å³ per atom: 21.15

Record 3
First-principles (PBE) data for an optimized crystal structure of Na3Nd3RuO8, as listed in the Alexandria database.

a = 6.9513 Å, b = 6.9513 Å, c = 16.7274 Å
α = 90.00°, β = 90.00°, γ = 120.00°
Space group R-3m (No. 166, hexagonal axes)
Unique sites:
Na1 0.0000 0.5000 0.0000 (multiplicity 9)
Nd1 0.0000 0.5000 0.5000 (multiplicity 9)
Ru1 0.0000 0.0000 0.5000 (multiplicity 3)
O1 0.0000 0.0000 0.2398 (multiplicity 6)
O2 0.0391 0.5196 0.2337 (multiplicity 18)

DOS(E_F), states/eV per atom: 0.425
V, Å³ per atom: 15.56
E_form (uncorrected), eV per atom: -2.238

Record 4
First-principles (PBE) data for an optimized crystal structure of RbAgHgBi2, as listed in the Alexandria database.

a = 6.491 Å, b = 6.491 Å, c = 6.265 Å
α = 90.00°, β = 90.00°, γ = 90.00°
Space group P4/mmm (No. 123)
Unique sites:
Rb1 0.000 0.000 0.000 (multiplicity 1)
Ag1 0.500 0.500 0.500 (multiplicity 1)
Hg1 0.000 0.000 0.500 (multiplicity 1)
Bi1 0.000 0.500 0.000 (multiplicity 2)

DOS(E_F), states/eV per atom: 0.690
V, Å³ per atom: 52.80

Record 5
First-principles (PBE) data for an optimized crystal structure of ThAlPt, as listed in the Alexandria database.

a = 13.247 Å, b = 4.129 Å, c = 7.195 Å
α = 90.00°, β = 90.00°, γ = 90.00°
Space group Pmma (No. 51)
Unique sites:
Th1 0.041 0.000 0.245 (multiplicity 4)
Th2 0.250 0.000 0.626 (multiplicity 2)
Al1 0.137 0.500 0.928 (multiplicity 4)
Al2 0.250 0.500 0.274 (multiplicity 2)
Pt1 0.102 0.500 0.558 (multiplicity 4)
Pt2 0.250 0.000 0.047 (multiplicity 2)

DOS(E_F), states/eV per atom: 0.671
V, Å³ per atom: 21.87

Record 6
First-principles (PBE) data for an optimized crystal structure of K2Ta, as listed in the Alexandria database.

a = 18.229 Å, b = 8.171 Å, c = 4.390 Å
α = 90.00°, β = 90.00°, γ = 90.00°
Space group Cmcm (No. 63)
Unique sites:
K1 0.137 0.243 0.250 (multiplicity 8)
Ta1 0.000 0.431 0.750 (multiplicity 4)

DOS(E_F), states/eV per atom: 1.034
Energy relative to the lowest polymorph listed for this composition, eV per atom: 0.4121
V, Å³ per atom: 54.49

Record 7
First-principles (PBE) data for an optimized crystal structure of NaLi3Au, as listed in the Alexandria database.

a = 4.997 Å, b = 4.997 Å, c = 4.997 Å
α = 90.00°, β = 90.00°, γ = 90.00°
Space group Pm-3m (No. 221)
Unique sites:
Na1 0.000 0.000 0.000 (multiplicity 1)
Li1 0.000 0.500 0.500 (multiplicity 3)
Au1 0.500 0.500 0.500 (multiplicity 1)

DOS(E_F), states/eV per atom: 0.505
Energy relative to the lowest polymorph listed for this composition, eV per atom: 0.0732
V, Å³ per atom: 24.95

Record 8
First-principles (PBE) data for an optimized crystal structure of RbLiTmCl6, as listed in the Alexandria database.

a = 6.676 Å, b = 11.587 Å, c = 7.557 Å
α = 90.00°, β = 90.04°, γ = 90.00°
Space group C2 (No. 5)
Unique sites:
Rb1 0.000 0.000 0.000 (multiplicity 2)
Li1 0.000 0.666 0.500 (multiplicity 2)
Tm1 0.000 0.333 0.500 (multiplicity 2)
Cl1 0.130 0.501 0.300 (multiplicity 4)
Cl2 0.184 0.815 0.300 (multiplicity 4)
Cl3 0.186 0.185 0.300 (multiplicity 4)

DOS(E_F), states/eV per atom: 1.505
V, Å³ per atom: 32.47
E_form (uncorrected), eV per atom: -1.761

Record 9
First-principles (PBE) data for an optimized crystal structure of ScP2Cl, as listed in the Alexandria database.

a = 3.395 Å, b = 4.944 Å, c = 12.825 Å
α = 90.00°, β = 90.00°, γ = 90.00°
Space group Imm2 (No. 44)
Unique sites:
Sc1 0.000 0.000 0.000 (multiplicity 2)
P1 0.000 0.000 0.427 (multiplicity 2)
P2 0.000 0.500 0.045 (multiplicity 2)
Cl1 0.000 0.500 0.643 (multiplicity 2)

DOS(E_F), states/eV per atom: 0.060
Energy relative to the lowest polymorph listed for this composition, eV per atom: 0.1170
V, Å³ per atom: 26.91
E_form (uncorrected), eV per atom: -0.813

Record 10
First-principles (PBE) data for an optimized crystal structure of NaCrCoSe3, as listed in the Alexandria database.

a = 7.896 Å, b = 3.650 Å, c = 9.100 Å
α = 90.00°, β = 110.39°, γ = 90.00°
Space group P2_1/m (No. 11)
Unique sites:
Na1 0.226 0.250 0.254 (multiplicity 2)
Cr1 0.314 0.750 0.836 (multiplicity 2)
Co1 0.080 0.250 0.598 (multiplicity 2)
Se1 0.105 0.250 0.861 (multiplicity 2)
Se2 0.240 0.750 0.544 (multiplicity 2)
Se3 0.453 0.750 0.137 (multiplicity 2)

DOS(E_F), states/eV per atom: 0.392
V, Å³ per atom: 20.49
E_form (uncorrected), eV per atom: -0.597

Record 11
First-principles (PBE) data for an optimized crystal structure of Zr2CuI, as listed in the Alexandria database.

a = 6.905 Å, b = 6.905 Å, c = 6.905 Å
α = 90.00°, β = 90.00°, γ = 90.00°
Space group Fm-3m (No. 225)
Unique sites:
Zr1 0.250 0.250 0.250 (multiplicity 8)
Cu1 0.000 0.000 0.000 (multiplicity 4)
I1 0.000 0.000 0.500 (multiplicity 4)

DOS(E_F), states/eV per atom: 0.995
Energy relative to the lowest polymorph listed for this composition, eV per atom: 0.0000
V, Å³ per atom: 20.57
E_form (uncorrected), eV per atom: 0.126

Record 12
First-principles (PBE) data for an optimized crystal structure of HfBiPd6, as listed in the Alexandria database.

a = 4.074 Å, b = 4.074 Å, c = 8.175 Å
α = 90.00°, β = 90.00°, γ = 90.00°
Space group P4/mmm (No. 123)
Unique sites:
Hf1 0.000 0.000 0.000 (multiplicity 1)
Bi1 0.000 0.000 0.500 (multiplicity 1)
Pd1 0.000 0.500 0.236 (multiplicity 4)
Pd2 0.500 0.500 0.000 (multiplicity 1)
Pd3 0.500 0.500 0.500 (multiplicity 1)

DOS(E_F), states/eV per atom: 0.254
Energy relative to the lowest polymorph listed for this composition, eV per atom: 0.0000
V, Å³ per atom: 16.96

Total energy, record by record: -25.173; -76.447; -302.334; -6.301; -121.514; -42.963; -11.240; -68.565; -44.503; -64.165; -88.955; -49.465 eV per cell